1.
Entry from the Alexandria database: an optimized crystal structure of LaDy2Tm (PBE).

Lattice parameters (Å, degrees): 3.5813 3.5813 11.8480 81.31 81.31 60.00
Closest atoms and distances in Å follow each position.
Sites, in units of the cell vectors:
La  0.0000  0.0000  0.0000  6 La 3.58, 6 Dy 3.65
Tm  0.5000  0.5000  0.5000  6 Dy 3.50, 6 Tm 3.58
Dy  0.2475  0.2475  0.2574  3 Tm 3.50, 6 Dy 3.58, 3 La 3.65
Dy  0.7525  0.7525  0.7426  3 Tm 3.50, 6 Dy 3.58, 3 La 3.65

Computed properties:
Energy ... -18.5 eV/f.u.
Energy above the most stable polymorph in this dataset ... 0.018 eV/atom
Calculated formation energy ... 26 meV per atom

2.
Entry from the Alexandria database: an optimized crystal structure of MgAg2HgBr6 (PBE).

Lattice parameters (Å, degrees): 7.1479 7.1576 7.5809 61.66 61.80 59.95
Closest atoms and distances in Å follow each position.
Sites, in units of the cell vectors:
Br  0.1117  0.4163  0.7601  1 Hg 2.77, 1 Mg 2.78, 2 Ag 2.81-3.10
Br  0.9436  0.5837  0.2534  1 Mg 2.67, 2 Ag 2.77-2.96
Br  0.4160  0.7119  0.7605  1 Mg 2.77, 1 Hg 2.77, 1 Ag 2.81
Br  0.7109  0.1125  0.7610  1 Mg 2.77, 1 Hg 2.78, 2 Ag 2.81-3.09
Br  0.2186  0.9427  0.2542  1 Mg 2.68, 2 Ag 2.77-2.96
Br  0.5845  0.2182  0.2543  1 Mg 2.68, 2 Ag 2.77-2.96
Ag  0.5312  0.5299  0.4082  5 Br 2.77-3.10
Ag  0.0150  0.0145  0.9556  6 Br 2.81-2.96
Mg  0.3204  0.3208  0.0381  6 Br 2.67-2.78
Hg  0.8097  0.8111  0.5697  6 Br 2.77-3.05

Computed properties:
Energy ... -24.1 eV/f.u.

3.
Entry from the Alexandria database: an optimized crystal structure of Cs2ErTmSe4 (PBE).

Lattice parameters (Å, degrees): 4.2272 7.3200 8.7081 106.26 90.00 90.00
Closest atoms and distances in Å follow each position.
Sites, in units of the cell vectors:
Er  0.5000  0.5000  0.0000  6 Se 2.89
Cs  0.5000  0.0000  0.5000  6 Se 3.59-3.60
Cs  0.0000  0.5000  0.5000  6 Se 3.60
Se  0.0000  0.7288  0.1838  1 Tm 2.88, 2 Er 2.89
Se  0.5000  0.2268  0.1835  2 Tm 2.88, 1 Er 2.89
Se  0.0000  0.2712  0.8162  1 Tm 2.88, 2 Er 2.89
Se  0.5000  0.7732  0.8165  2 Tm 2.88, 1 Er 2.89
Tm  0.0000  0.0000  0.0000  6 Se 2.88

Computed properties:
Energy ... -38.4 eV/f.u.

4.
Entry from the Alexandria database: an optimized crystal structure of TaCrH (PBE).

Lattice parameters (Å, degrees): 3.2681 2.9418 6.9594 90.00 90.00 90.00
Closest atoms and distances in Å follow each position.
Sites, in units of the cell vectors:
H  0.3359  0.8338  0.8737  5 Ta 2.00-2.22
H  0.8359  0.3338  0.1263  5 Ta 2.00-2.22
Ta  0.3367  0.8356  0.1603  5 H 2.00-2.22
Ta  0.8367  0.3356  0.8397  5 H 2.00-2.22
Cr  0.8368  0.8399  0.4685  4 Cr 2.24
Cr  0.3368  0.3399  0.5315  4 Cr 2.24

Computed properties:
Energy ... -24.1 eV/f.u.

5.
Entry from the Alexandria database: an optimized crystal structure of FeBr3 (PBE).

Lattice parameters (Å, degrees): 10.3779 10.3779 3.3273 90.00 90.00 120.00
Closest atoms and distances in Å follow each position.
Sites, in units of the cell vectors:
Br  0.4478  0.2239  0.2500  2 Fe 2.58
Br  0.5522  0.7761  0.7500  2 Fe 2.58
Br  0.7761  0.2239  0.2500  2 Fe 2.58
Br  0.2239  0.7761  0.7500  2 Fe 2.58
Br  0.2239  0.4478  0.7500  2 Fe 2.58
Br  0.7761  0.5522  0.2500  2 Fe 2.58
Fe  0.6667  0.3333  0.7500  6 Br 2.58
Fe  0.3333  0.6667  0.2500  6 Br 2.58

Computed properties:
Energy ... -14.8 eV/f.u.

6.
Entry from the Alexandria database: an optimized crystal structure of NaTaCd (PBE).

Lattice parameters (Å, degrees): 2.9721 2.9723 16.1736 90.89 98.06 70.93
Closest atoms and distances in Å follow each position.
Sites, in units of the cell vectors:
Ta  0.3371  0.3359  0.4664  6 Ta 2.73-2.97, 2 Cd 3.00
Ta  0.7282  0.8604  0.3338  6 Ta 2.73-2.97
Cd  0.9493  0.7945  0.6195  7 Cd 2.97-3.25, 2 Ta 3.00
Cd  0.7387  0.4124  0.7854  7 Cd 2.97-3.25, 2 Na 3.22
Na  0.0790  0.3908  0.1543  4 Na 2.97
Na  0.3660  0.8677  0.9553  4 Na 2.97, 2 Cd 3.22

Computed properties:
Energy ... -13.5 eV/f.u.
Energy above the most stable polymorph in this dataset ... 0.073 eV/atom
Calculated formation energy ... 211 meV per atom

7.
Entry from the Alexandria database: an optimized crystal structure of KRhBr2O (PBE).

Lattice parameters (Å, degrees): 5.5039 5.5039 3.7644 90.00 90.00 90.00
Closest atoms and distances in Å follow each position.
Sites, in units of the cell vectors:
Br  0.5000  0.0000  0.0000  2 Rh 2.75
Br  0.0000  0.5000  0.0000  2 Rh 2.75
Rh  0.0000  0.0000  0.0000  2 O 1.88
O  0.0000  0.0000  0.5000  2 Rh 1.88
K  0.5000  0.5000  0.5000  8 Br 3.33

Computed properties:
Energy ... -21.0 eV/f.u.

8.
Entry from the Alexandria database: an optimized crystal structure of SnAs3Cl (PBE).

Lattice parameters (Å, degrees): 4.9684 4.9684 4.9684 90.00 90.00 90.00
Closest atoms and distances in Å follow each position.
Sites, in units of the cell vectors:
As  0.0000  0.0000  0.5000  2 Cl 2.48
As  0.0000  0.5000  0.0000  2 Cl 2.48
As  0.5000  0.0000  0.0000  2 Cl 2.48
Cl  0.0000  0.0000  0.0000  6 As 2.48
Sn  0.5000  0.5000  0.5000  12 As 3.51

Computed properties:
Energy ... -15.6 eV/f.u.
Energy above the most stable polymorph in this dataset ... 0.000 eV/atom

9.
Entry from the Alexandria database: an optimized crystal structure of Ac4As2SeN2 (PBE).

Lattice parameters (Å, degrees): 4.3802 8.9252 8.7956 122.13 104.42 90.00
Closest atoms and distances in Å follow each position.
Sites, in units of the cell vectors:
Se  0.0000  0.0000  0.0000  6 Ac 3.19-3.45
N  0.6778  0.9891  0.3556  4 Ac 2.37-2.52
N  0.3222  0.0109  0.6444  4 Ac 2.37-2.52
Ac  0.4844  0.2423  0.9687  1 N 2.37
Ac  0.7646  0.8457  0.5291  3 N 2.43-2.52
Ac  0.2354  0.1543  0.4709  3 N 2.43-2.52
Ac  0.5156  0.7577  0.0313  1 N 2.37
As  0.9118  0.4222  0.8235  1 As 2.53
As  0.0882  0.5778  0.1765  1 As 2.53

Computed properties:
Energy ... -58.1 eV/f.u.

10.
Entry from the Alexandria database: an optimized crystal structure of InSnPt2 (PBE).

Lattice parameters (Å, degrees): 6.2231 6.2231 7.2476 64.58 64.58 90.00
Closest atoms and distances in Å follow each position.
Sites, in units of the cell vectors:
Pt  0.6325  0.1250  0.2500  2 Sn 2.60, 2 In 2.66
Pt  0.1175  0.6250  0.2500  2 Sn 2.60, 2 In 2.66
Pt  0.8750  0.8825  0.7500  2 Sn 2.60, 2 In 2.66
Pt  0.3750  0.3675  0.7500  2 Sn 2.60, 2 In 2.66
Sn  0.7500  0.2500  0.5000  4 Pt 2.60
Sn  0.0000  0.0000  0.0000  4 Pt 2.60
In  0.2500  0.7500  0.5000  4 Pt 2.66
In  0.5000  0.5000  0.0000  4 Pt 2.66

Computed properties:
Energy ... -19.1 eV/f.u.
Calculated formation energy ... -73 meV per atom

11.
Entry from the Alexandria database: an optimized crystal structure of Dy3Tm2Mg (PBE).

Lattice parameters (Å, degrees): 3.5301 3.5301 14.2890 90.00 90.00 90.00
Closest atoms and distances in Å follow each position.
Sites, in units of the cell vectors:
Dy  0.0000  0.0000  0.0000  8 Tm 3.52, 4 Dy 3.53
Dy  0.0000  0.0000  0.3440  4 Mg 3.35, 4 Tm 3.49, 4 Dy 3.53
Dy  0.0000  0.0000  0.6560  4 Mg 3.35, 4 Tm 3.49, 4 Dy 3.53
Tm  0.5000  0.5000  0.1735  8 Dy 3.49-3.52, 4 Tm 3.53
Tm  0.5000  0.5000  0.8265  8 Dy 3.49-3.52, 4 Tm 3.53
Mg  0.5000  0.5000  0.5000  8 Dy 3.35, 4 Mg 3.53

Computed properties:
Energy ... -24.4 eV/f.u.
Energy above the most stable polymorph in this dataset ... 0.000 eV/atom
Calculated formation energy ... -9 meV per atom

12.
Entry from the Alexandria database: an optimized crystal structure of KReWSe2 (PBE).

Lattice parameters (Å, degrees): 5.0982 4.9551 5.0982 90.00 90.00 90.00
Closest atoms and distances in Å follow each position.
Sites, in units of the cell vectors:
K  0.5000  0.5000  0.5000  8 Se 3.55, 4 W 3.61
W  0.0000  0.5000  0.0000  2 Re 2.48
Se  0.0000  0.0000  0.5000  2 Re 2.55
Se  0.5000  0.0000  0.0000  2 Re 2.55
Re  0.0000  0.0000  0.0000  2 W 2.48, 4 Se 2.55

Computed properties:
Energy ... -29.2 eV/f.u.

13.
Entry from the Alexandria database: an optimized crystal structure of NaY2CuO5 (PBE).

Lattice parameters (Å, degrees): 5.5488 6.4920 6.4920 90.00 90.00 90.00
Closest atoms and distances in Å follow each position.
Sites, in units of the cell vectors:
Y  0.5000  0.3237  0.8237  8 O 2.25-2.48
Y  0.5000  0.8237  0.6763  8 O 2.25-2.48
Y  0.5000  0.6763  0.1763  8 O 2.25-2.48
Y  0.5000  0.1763  0.3237  8 O 2.25-2.48
O  0.7557  0.1337  0.6337  1 Cu 1.83
O  0.5000  0.5000  0.5000  4 Y 2.39
O  0.2443  0.1337  0.6337  1 Cu 1.83
O  0.5000  0.0000  0.0000  4 Y 2.39
O  0.7557  0.3663  0.1337  1 Cu 1.83
O  0.2443  0.6337  0.8663  1 Cu 1.83
O  0.2443  0.8663  0.3663  1 Cu 1.83
O  0.7557  0.8663  0.3663  1 Cu 1.83
O  0.7557  0.6337  0.8663  1 Cu 1.83
O  0.2443  0.3663  0.1337  1 Cu 1.83
Na  0.0000  0.5000  0.5000  10 O 2.77-2.87
Na  0.0000  0.0000  0.0000  10 O 2.77-2.87
Cu  0.0000  0.5000  0.0000  4 O 1.83
Cu  0.0000  0.0000  0.5000  4 O 1.83

Computed properties:
Energy ... -64.0 eV/f.u.

14.
Entry from the Alexandria database: an optimized crystal structure of CrTc (PBE).

Lattice parameters (Å, degrees): 4.2198 4.9484 2.9495 72.66 90.00 115.26
Closest atoms and distances in Å follow each position.
Sites, in units of the cell vectors:
Cr  0.1515  0.4691  0.2654  2 Cr 2.37, 6 Tc 2.58-2.62
Cr  0.9319  0.0309  0.9846  2 Cr 2.37, 6 Tc 2.58-2.62
Tc  0.4075  0.9818  0.5091  6 Cr 2.58-2.62, 4 Tc 2.70-2.88
Tc  0.6759  0.5182  0.7409  6 Cr 2.58-2.62, 4 Tc 2.70-2.88

Computed properties:
Energy ... -19.9 eV/f.u.
Calculated formation energy ... 45 meV per atom